# MoWBr2

A relaxed structure of MoWBr2 (PBE, Alexandria).

extended XYZ file:
```
4
Lattice="7.421 0.900 -0.579 6.387 3.883 -0.579 0.851 0.295 4.222" Properties=species:S:1:pos:R:3 pbc="T T T"
Br 5.911 2.048 1.735
Br 2.270 0.786 4.020
Mo 10.995 3.809 2.298
W 3.665 1.270 0.766
```

- E_form (uncorrected) (meV per atom) = 473
- total moment (μB per formula unit) = 0.00
- raw total energy (eV/atom) = -6.309
- energy above the lowest structure with this stoichiometry (eV per atom) = 0.318